Entry 1:
VASP calculation (GGA-PBEsol) on a relaxed structure of CoRePt.

Cell: 2.6590 3.7020 7.9952 Å, 90.00 90.00 90.00°
Last column: nearest neighbours and their distance in Å.
Atoms (fractional coordinates):
Co (0.0000, 0.0000, 0.0000)  5 Re 2.57-2.82, 5 Pt 2.60-2.67, 2 Co 2.66
Co (0.5000, 0.5000, 0.5000)  5 Re 2.57-2.82, 5 Pt 2.60-2.67, 2 Co 2.66
Re (0.0000, 0.0000, 0.3521)  5 Co 2.57-2.82, 5 Pt 2.58-2.69, 2 Re 2.66
Re (0.5000, 0.5000, 0.8521)  5 Co 2.57-2.82, 5 Pt 2.58-2.69, 2 Re 2.66
Pt (0.0000, 0.0000, 0.6742)  5 Re 2.58-2.69, 5 Co 2.60-2.67, 2 Pt 2.66
Pt (0.5000, 0.5000, 0.1742)  5 Re 2.58-2.69, 5 Co 2.60-2.67, 2 Pt 2.66

crystal system	orthorhombic
ρ	18.58	g/cm³
distance to the lowest polymorph of the same formula	0.0000	eV/atom
size of the total moment	0.0	μB/cell
symmetry	No. 44
formation enthalpy at 0 K	-92.9	meV/atom

---

Entry 2:
VASP calculation (GGA-PBEsol) on a relaxed structure of CoRePt2.

Cell: 2.6842 2.6842 7.5424 Å, 90.00 90.00 90.00°
Last column: nearest neighbours and their distance in Å.
Atoms (fractional coordinates):
Co (0.0000, 0.0000, 0.0000)  8 Pt 2.63, 4 Co 2.68
Re (0.0000, 0.0000, 0.5000)  4 Re 2.68, 8 Pt 2.72
Pt (0.5000, 0.5000, 0.2408)  4 Co 2.63, 4 Pt 2.68, 4 Re 2.72
Pt (0.5000, 0.5000, 0.7592)  4 Co 2.63, 4 Pt 2.68, 4 Re 2.72

crystal system	tetragonal
ρ	19.41	g/cm³
distance to the lowest polymorph of the same formula	0.0816	eV/atom
size of the total moment	0.0	μB/cell
symmetry	No. 123
formation enthalpy at 0 K	-4.1	meV/atom

---

Entry 3:
VASP calculation (GGA-PBEsol) on a relaxed structure of CoRe2Pt.

Cell: 6.0509 6.0509 6.0509 Å, 90.00 90.00 90.00°
Last column: nearest neighbours and their distance in Å.
Atoms (fractional coordinates):
Co (0.0000, 0.0000, 0.0000)  4 Re 2.62, 4 Pt 2.62
Co (0.0000, 0.5000, 0.5000)  4 Re 2.62, 4 Pt 2.62
Co (0.5000, 0.0000, 0.5000)  4 Re 2.62, 4 Pt 2.62
Co (0.5000, 0.5000, 0.0000)  4 Re 2.62, 4 Pt 2.62
Re (0.0000, 0.0000, 0.5000)  4 Re 2.62, 4 Pt 2.62
Re (0.0000, 0.5000, 0.0000)  4 Pt 2.62, 4 Re 2.62
Re (0.2500, 0.2500, 0.2500)  4 Co 2.62, 4 Re 2.62
Re (0.2500, 0.7500, 0.7500)  4 Co 2.62, 4 Re 2.62
Re (0.5000, 0.0000, 0.0000)  4 Pt 2.62, 4 Re 2.62
Re (0.5000, 0.5000, 0.5000)  4 Re 2.62, 4 Pt 2.62
Re (0.7500, 0.2500, 0.7500)  4 Co 2.62, 4 Re 2.62
Re (0.7500, 0.7500, 0.2500)  4 Co 2.62, 4 Re 2.62
Pt (0.2500, 0.2500, 0.7500)  4 Co 2.62, 4 Re 2.62
Pt (0.2500, 0.7500, 0.2500)  4 Co 2.62, 4 Re 2.62
Pt (0.7500, 0.2500, 0.2500)  4 Co 2.62, 4 Re 2.62
Pt (0.7500, 0.7500, 0.7500)  4 Re 2.62, 4 Co 2.62

crystal system	cubic
ρ	18.78	g/cm³
distance to the lowest polymorph of the same formula	0.2821	eV/atom
size of the total moment	3.4	μB/cell
symmetry	No. 216
formation enthalpy at 0 K	264.8	meV/atom